Entry from Alexandria via LeMat-Bulk: an optimized crystal structure of AsPb2Cl (PBE).

* raw formation energy: -0.343 eV per atom
* V: 30.2 A^3/atom
* polymorph energy (0 for the lowest one): 132 meV per atom
* spin magnetization: 0.0 μB/cell
* D(E_F): 1.2 states/eV per cell

Unit cell a=7.9311 b=7.9311 c=7.9311 alpha=151.42 beta=149.49 gamma=42.30
With the nearest neighbours (Å) after each atom.
Sites, in units of the cell vectors:
As (0.0000, 0.0000, 0.0000)  6 Pb 2.94-3.08
Pb (0.5771, 0.5771, 0.0000)  4 As 3.08, 2 Cl 3.43
Pb (0.8517, 0.3517, 0.5000)  2 As 2.94, 4 Cl 3.16
Cl (0.2610, 0.7610, 0.5000)  6 Pb 3.16-3.43

***

Entry from Alexandria via LeMat-Bulk: an optimized crystal structure of AsPb2Cl (PBE).

* raw formation energy: -0.328 eV per atom
* V: 30.7 A^3/atom
* polymorph energy (0 for the lowest one): 147 meV per atom
* spin magnetization: 0.0 μB/cell
* D(E_F): 0.8 states/eV per cell

Unit cell a=4.3477 b=4.3477 c=6.4869 alpha=90.00 beta=90.00 gamma=90.00
With the nearest neighbours (Å) after each atom.
Sites, in units of the cell vectors:
As (0.0000, 0.0000, 0.0000)  1 Pb 2.72
Pb (0.0000, 0.0000, 0.5800)  1 As 2.72
Pb (0.5000, 0.5000, 0.0473)  4 As 3.09, 2 Cl 3.14-3.35
Cl (0.5000, 0.5000, 0.5310)  6 Pb 3.09-3.35